The following is a PBE-GGA calculation of a geometry-optimized Al4HgOs structure, from Alexandria via LeMat-Bulk.

Results
Formation energy from the elements = 0.262 eV per atom
Spin magnetization = 0.00 μB/cell
Energy = -24.93 eV for the cell shown
V = 15.93 A^3/atom

extended XYZ file:
```
6
Lattice="0.0000 3.6292 3.6292 3.6292 0.0000 3.6292 3.6292 3.6292 0.0000" Properties=species:S:1:pos:R:3 pbc="T T T"
Al 2.7346 2.7346 2.7346
Al 4.5239 4.5239 2.7346
Al 4.5239 2.7346 4.5239
Al 2.7346 4.5239 4.5239
Hg 0.0000 0.0000 0.0000
Os 5.4439 5.4439 5.4439
```

=====

The following is a PBE-GGA calculation of a geometry-optimized Ba4IrSBr2 structure, from Alexandria via LeMat-Bulk.

Results
Spin magnetization = 0.00 μB/cell
Energy = -35.31 eV for the cell shown
Formation energy from raw total energies = -1410 meV per atom
V = 36.95 A^3/atom

extended XYZ file:
```
8
Lattice="8.0260 0.0000 0.0000 0.0000 4.5710 0.0000 -2.4488 0.0000 8.0568" Properties=species:S:1:pos:R:3 pbc="T T T"
Ba 1.3418 0.0000 1.7185
Ba 0.0383 2.2855 6.4083
Ba 5.5390 2.2855 1.6484
Ba 4.2354 0.0000 6.3383
Ir 0.0000 2.2855 0.0000
S 4.0130 0.0000 0.0000
Br -1.2244 0.0000 4.0284
Br 2.7886 2.2855 4.0284
```

=====

The following is a PBE-GGA calculation of a geometry-optimized POsCO2 structure, from Alexandria via LeMat-Bulk.

Results
Relative energy among the computed polymorphs = 0.00 eV per formula unit
Spin magnetization = 1.36 μB/cell
Energy = -32.05 eV for the cell shown
Formation energy from raw total energies = 745 meV per atom
V = 14.09 A^3/atom

extended XYZ file:
```
5
Lattice="3.6375 0.0000 0.0000 0.0000 3.6375 0.0000 0.0000 0.0000 5.3229" Properties=species:S:1:pos:R:3 pbc="T T T"
P 0.0000 0.0000 0.0000
Os 0.0000 0.0000 2.6614
C 1.8187 1.8187 0.0000
O 0.0000 1.8187 2.6614
O 1.8187 0.0000 2.6614
```

=====

The following is a PBE-GGA calculation of a geometry-optimized KCa2Cd structure, from Alexandria via LeMat-Bulk.

Results
Formation energy from the elements = 0.076 eV per atom
Spin magnetization = 0.00 μB/cell
Energy = -5.71 eV for the cell shown
V = 38.33 A^3/atom

extended XYZ file:
```
4
Lattice="5.4844 0.0000 0.0000 0.0000 5.4844 0.0000 0.0000 0.0000 5.0977" Properties=species:S:1:pos:R:3 pbc="T T T"
K 0.0000 0.0000 0.0000
Ca 0.0000 2.7422 2.5489
Ca 2.7422 0.0000 2.5489
Cd 2.7422 2.7422 0.0000
```